V2HgBiO8 | PBE+U | optimized geometry

Properties
**N(E_F)**: 5.426 states/eV/cell
**Space group**: P-3m1 (164)
**Final energy**: -74.20 eV for the cell shown

Cell: 5.913 5.913 6.589 Å, 90.00 90.00 120.00°
Element x y z (fractional)
V1 0.333 0.667 0.333
V2 0.667 0.333 0.667
Hg1 0.000 0.000 0.000
Bi1 0.000 0.000 0.500
O1 0.164 0.328 0.261
O2 0.164 0.836 0.261
O3 0.328 0.164 0.739
O4 0.333 0.667 0.581
O5 0.667 0.333 0.419
O6 0.672 0.836 0.261
O7 0.836 0.164 0.739
O8 0.836 0.672 0.739